AlTl2Cu | PBE | optimized geometry

The calculation puts the polymorph energy (0 for the lowest one) at 320.1 meV per atom. The value obtained for the energy is -2.6977 eV/atom. Its density of states at the Fermi level is 2.57 states/eV per cell. For the energy relative to the elements, the calculation gives 0.45 eV per atom.

Lattice parameters (Å, degrees): 5.0776 5.0776 5.0776 60.00 60.00 60.00
Fractional coordinates of all 4 atoms:
Cu 0.7500 0.7500 0.7500
Al 0.5000 0.5000 0.5000
Tl 0.2500 0.2500 0.2500
Tl 0.0000 0.0000 0.0000



RbPtF | PBE | optimized geometry

The calculation puts the polymorph energy (0 for the lowest one) at 0.0 meV per atom. The value obtained for the energy is -4.3066 eV/atom. Its density of states at the Fermi level is 3.40 states/eV per cell.

Lattice parameters (Å, degrees): 3.4887 3.5853 10.7741 90.91 80.59 90.00
Fractional coordinates of all 6 atoms:
F 0.3216 0.5276 0.1473
F 0.1594 0.0356 0.4667
Rb 0.7094 0.5305 0.3680
Rb 0.8779 0.0222 0.0355
Pt 0.0536 0.0057 0.6858
Pt 0.5203 0.5103 0.7515



CaMnP | PBE | optimized geometry

The value obtained for the energy is -5.8767 eV/atom. Its density of states at the Fermi level is 1.95 states/eV per cell. For the energy relative to the elements, the calculation gives -0.35 eV per atom.

Lattice parameters (Å, degrees): 4.4633 4.4633 4.4633 60.00 60.00 60.00
Fractional coordinates of all 3 atoms:
P 0.7500 0.7500 0.7500
Mn 0.5000 0.5000 0.5000
Ca 0.0000 0.0000 0.0000



Question: Which value of energy does entry 1 give?
Answer: -2.6977 eV/atom



Question: Which of these has the lowest energy?
Answer: CaMnP